Record 1
## Dy5Mg2Co2 (PBE)

Data for a geometry-optimized Dy5Mg2Co2 structure.

Lattice parameters (Å, degrees): 17.3331 7.1779 7.2922 90.00 90.00 90.00
With the nearest neighbours (Å) after each atom.
Space group Cmce (No. 64)
One atom of each set of equivalent atoms:
Dy  0.0000  0.0000  0.0000 [4 per cell]  4 Co 2.92-2.93, 4 Dy 3.27
Dy  0.1117  0.1862  0.3138 [16 per cell]  3 Co 2.84-2.97
Mg  0.2309  0.0000  0.0000 [8 per cell]  6 Dy 3.33-3.36, 4 Mg 3.65-3.71
Co  0.0000  0.1096  0.6123 [8 per cell]  1 Co 2.27

Calculated values
formation enthalpy at 0 K: -0.9 eV per formula unit
calculated density: 7.2 Mg/m³
volume: 907.3 Å³ per cell

=====

Record 2
## Dy7Mg2Co2 (PBE)

Data for a geometry-optimized Dy7Mg2Co2 structure.

Lattice parameters (Å, degrees): 3.5439 17.0726 9.6684 90.00 90.00 90.00
With the nearest neighbours (Å) after each atom.
Space group Imm2 (No. 44)
One atom of each set of equivalent atoms:
Dy  0.0000  0.0000  0.0000 [2 per cell]  3 Mg 3.38-3.46, 6 Dy 3.54-3.75
Dy  0.0000  0.1507  0.4364 [4 per cell]  2 Co 2.65
Dy  0.0000  0.3199  0.6250 [4 per cell]  2 Co 2.79
Dy  0.0000  0.3490  0.2727 [4 per cell]  2 Co 2.70
Mg  0.0000  0.0000  0.6418 [2 per cell]  7 Dy 3.25-3.46, 2 Mg 3.54
Mg  0.0000  0.5000  0.7973 [2 per cell]  8 Dy 3.38-3.50, 4 Mg 3.54-3.77
Co  0.0000  0.2338  0.9238 [4 per cell]  6 Dy 2.65-2.79

Calculated values
formation enthalpy at 0 K: -1.0 eV per formula unit
calculated density: 7.4 Mg/m³
volume: 585.0 Å³ per cell

=====

Record 3
## Dy12MgCo6 (PBE)

Data for a geometry-optimized Dy12MgCo6 structure.

Lattice parameters (Å, degrees): 9.6917 9.6917 9.6917 90.00 90.00 90.00
With the nearest neighbours (Å) after each atom.
Space group Im-3 (No. 204)
One atom of each set of equivalent atoms:
Dy  0.0000  0.3053  0.1947 [24 per cell]  3 Co 2.65-2.88
Mg  0.0000  0.0000  0.0000 [2 per cell]  12 Dy 3.51
Co  0.0000  0.1130  0.5000 [12 per cell]  1 Co 2.19

Calculated values
formation enthalpy at 0 K: -3.5 eV per formula unit
calculated density: 8.5 Mg/m³
volume: 910.3 Å³ per cell

=====

Record 4
## Dy4Mg3Co2 (PBE)

Data for a geometry-optimized Dy4Mg3Co2 structure.

Lattice parameters (Å, degrees): 7.5287 3.6735 8.1914 90.00 109.62 90.00
With the nearest neighbours (Å) after each atom.
Space group P2/m (No. 10)
One atom of each set of equivalent atoms:
Dy  0.0989  0.0000  0.2265 [2 per cell]  2 Co 2.66
Dy  0.3982  0.0000  0.6756 [2 per cell]  4 Co 2.82-2.89
Mg  0.0000  0.5000  0.5000 [1 per cell]  2 Co 3.06, 8 Dy 3.17-3.40
Mg  0.2934  0.5000  0.0009 [2 per cell]  1 Co 3.08, 1 Mg 3.12, 6 Dy 3.28-3.45
Co  0.3508  0.5000  0.3916 [2 per cell]  1 Co 2.35

Calculated values
formation enthalpy at 0 K: -1.5 eV per formula unit
calculated density: 6.5 Mg/m³
volume: 213.4 Å³ per cell

=====

Record 5
## DyMg4Co (PBE)

Data for a geometry-optimized DyMg4Co structure.

Lattice parameters (Å, degrees): 5.3448 6.9157 14.2829 90.00 90.00 90.00
With the nearest neighbours (Å) after each atom.
Space group Immm (No. 71)
One atom of each set of equivalent atoms:
Dy  0.0000  0.0000  0.2077 [4 per cell]  12 Mg 3.20-3.53
Mg  0.0000  0.2030  0.0000 [4 per cell]  2 Co 2.56, 1 Mg 2.81
Mg  0.0000  0.2703  0.3899 [8 per cell]  2 Co 2.70
Mg  0.0000  0.5000  0.1593 [4 per cell]  2 Co 2.74, 2 Mg 3.07
Co  0.2142  0.0000  0.5000 [4 per cell]  1 Co 2.29, 2 Mg 2.56

Calculated values
formation enthalpy at 0 K: 0.3 eV per formula unit
calculated density: 4.0 Mg/m³
volume: 527.9 Å³ per cell

=====

Record 6
## Dy2MgCo2 (PBE)

Data for a geometry-optimized Dy2MgCo2 structure.

Lattice parameters (Å, degrees): 9.8812 5.3991 7.6704 90.00 105.24 90.00
With the nearest neighbours (Å) after each atom.
Space group C2/c (No. 15)
One atom of each set of equivalent atoms:
Dy  0.1474  0.1478  0.1465 [8 per cell]  6 Co 2.86-3.06, 1 Mg 3.18
Mg  0.0000  0.3698  0.7500 [4 per cell]  4 Co 2.65-2.67
Co  0.1513  0.3428  0.5085 [8 per cell]  1 Co 2.23

Calculated values
formation enthalpy at 0 K: -0.9 eV per formula unit
calculated density: 7.9 Mg/m³
volume: 394.8 Å³ per cell

=====

Record 7
## PmDyMgCo (PBE)

Data for a geometry-optimized PmDyMgCo structure.

Lattice parameters (Å, degrees): 3.4447 3.4447 8.1481 90.00 90.00 90.00
With the nearest neighbours (Å) after each atom.
Space group P4mm (No. 99)
One atom of each set of equivalent atoms:
Pm  0.0000  0.0000  0.0000 [1 per cell]  4 Co 2.99, 1 Dy 3.29
Dy  0.0000  0.0000  0.4042 [1 per cell]  4 Co 2.89
Mg  0.5000  0.5000  0.6947 [1 per cell]  4 Dy 3.40, 4 Mg 3.44, 4 Pm 3.48
Co  0.5000  0.5000  0.2123 [1 per cell]  4 Dy 2.89, 4 Pm 2.99

Calculated values
formation enthalpy at 0 K: -0.4 eV per formula unit
distance to the lowest polymorph of the same formula: 0.00 eV/f.u.
calculated density: 6.7 Mg/m³
volume: 96.7 Å³ per cell

=====

Record 8
## PmDyMgCo (PBE)

Data for a geometry-optimized PmDyMgCo structure.

Lattice parameters (Å, degrees): 7.1966 7.1966 7.1966 90.00 90.00 90.00
With the nearest neighbours (Å) after each atom.
Space group F-43m (No. 216)
One atom of each set of equivalent atoms:
Pm  0.0000  0.0000  0.0000 [4 per cell]  4 Mg 3.12, 4 Co 3.12
Dy  0.0000  0.0000  0.5000 [4 per cell]  4 Co 3.12, 4 Mg 3.12
Mg  0.2500  0.2500  0.2500 [4 per cell]  4 Dy 3.12, 4 Pm 3.12
Co  0.2500  0.2500  0.7500 [4 per cell]  4 Dy 3.12, 4 Pm 3.12

Calculated values
formation enthalpy at 0 K: 0.1 eV per formula unit
distance to the lowest polymorph of the same formula: 0.48 eV/f.u.
calculated density: 7.0 Mg/m³
volume: 372.7 Å³ per cell

=====

Record 9
## PrDyMgCo (PBE)

Data for a geometry-optimized PrDyMgCo structure.

Lattice parameters (Å, degrees): 7.2540 7.2540 7.2540 90.00 90.00 90.00
With the nearest neighbours (Å) after each atom.
Space group F-43m (No. 216)
One atom of each set of equivalent atoms:
Pr  0.0000  0.0000  0.0000 [4 per cell]  4 Co 3.14, 4 Mg 3.14
Dy  0.0000  0.0000  0.5000 [4 per cell]  4 Mg 3.14, 4 Co 3.14
Mg  0.2500  0.2500  0.2500 [4 per cell]  4 Dy 3.14, 4 Pr 3.14
Co  0.2500  0.2500  0.7500 [4 per cell]  4 Dy 3.14, 4 Pr 3.14

Calculated values
formation enthalpy at 0 K: 0.2 eV per formula unit
calculated density: 6.7 Mg/m³
volume: 381.7 Å³ per cell

=====

Record 10
## DyMgCoPt (PBE)

Data for a geometry-optimized DyMgCoPt structure.

Lattice parameters (Å, degrees): 6.5716 6.5716 6.5716 90.00 90.00 90.00
With the nearest neighbours (Å) after each atom.
Space group F-43m (No. 216)
One atom of each set of equivalent atoms:
Dy  0.0000  0.0000  0.0000 [4 per cell]  4 Co 2.85, 4 Pt 2.85
Mg  0.0000  0.0000  0.5000 [4 per cell]  4 Co 2.85, 4 Pt 2.85
Co  0.2500  0.2500  0.7500 [4 per cell]  4 Dy 2.85, 4 Mg 2.85
Pt  0.2500  0.2500  0.2500 [4 per cell]  4 Dy 2.85, 4 Mg 2.85

Calculated values
formation enthalpy at 0 K: -2.0 eV per formula unit
calculated density: 10.3 Mg/m³
volume: 283.8 Å³ per cell

=====

Record 11
## DyMgCoRu (PBE)

Data for a geometry-optimized DyMgCoRu structure.

Lattice parameters (Å, degrees): 6.4600 6.4600 6.4600 90.00 90.00 90.00
With the nearest neighbours (Å) after each atom.
Space group F-43m (No. 216)
One atom of each set of equivalent atoms:
Dy  0.0000  0.0000  0.0000 [4 per cell]  4 Co 2.80, 4 Ru 2.80
Mg  0.0000  0.0000  0.5000 [4 per cell]  4 Co 2.80, 4 Ru 2.80
Co  0.2500  0.2500  0.2500 [4 per cell]  4 Dy 2.80, 4 Mg 2.80
Ru  0.2500  0.2500  0.7500 [4 per cell]  4 Dy 2.80, 4 Mg 2.80

Calculated values
formation enthalpy at 0 K: 0.0 eV per formula unit
calculated density: 8.5 Mg/m³
volume: 269.6 Å³ per cell

=====

Record 12
## SmDyMgCo (PBE)

Data for a geometry-optimized SmDyMgCo structure.

Lattice parameters (Å, degrees): 3.4364 3.4364 8.1318 90.00 90.00 90.00
With the nearest neighbours (Å) after each atom.
Space group P4mm (No. 99)
One atom of each set of equivalent atoms:
Sm  0.0000  0.0000  0.0000 [1 per cell]  4 Co 2.97, 1 Dy 3.28
Dy  0.0000  0.0000  0.5964 [1 per cell]  4 Co 2.90
Mg  0.5000  0.5000  0.3033 [1 per cell]  4 Dy 3.40, 4 Mg 3.44, 4 Sm 3.46
Co  0.5000  0.5000  0.7903 [1 per cell]  4 Dy 2.90, 4 Sm 2.97

Calculated values
formation enthalpy at 0 K: -0.4 eV per formula unit
distance to the lowest polymorph of the same formula: 0.00 eV/f.u.
calculated density: 6.8 Mg/m³
volume: 96.0 Å³ per cell